# Ta2CuNiI GGA-PBE relaxed
# V in Å³ per atom: 21.78
# E_form (uncorrected) in eV per formula unit: 7.05
# Size of the total moment in Bohr magnetons per cell: 0.00
data_Ta2CuNiI
_chemical_formula_sum 'Ta2 Cu1 Ni1 I1'
_symmetry_space_group_name_H-M 'P 4/m m m'
_symmetry_Int_Tables_number 123
_symmetry_space_group_name_Hall '-P 4 2'
_cell_length_a 4.619
_cell_length_b 4.619
_cell_length_c 5.105
_cell_angle_alpha 90.00
_cell_angle_beta 90.00
_cell_angle_gamma 90.00
loop_
_atom_site_label
_atom_site_fract_x
_atom_site_fract_y
_atom_site_fract_z
Ta1 0.000 0.500 0.000
Cu1 0.000 0.000 0.500
Ni1 0.500 0.500 0.000
I1 0.500 0.500 0.500



# MgSiSnGe2 GGA-PBE relaxed
# V in Å³ per atom: 23.65
# E_form (uncorrected) in eV per formula unit: 2.19
# Size of the total moment in Bohr magnetons per cell: 0.00
data_MgSiSnGe2
_chemical_formula_sum 'Mg1 Si1 Sn1 Ge2'
_symmetry_space_group_name_H-M 'P 4/m m m'
_symmetry_Int_Tables_number 123
_symmetry_space_group_name_Hall '-P 4 2'
_cell_length_a 4.845
_cell_length_b 4.845
_cell_length_c 5.036
_cell_angle_alpha 90.00
_cell_angle_beta 90.00
_cell_angle_gamma 90.00
loop_
_atom_site_label
_atom_site_fract_x
_atom_site_fract_y
_atom_site_fract_z
Mg1 0.000 0.000 0.000
Si1 0.000 0.000 0.500
Sn1 0.500 0.500 0.000
Ge1 0.000 0.500 0.500



Look up the V of the first one.
21.78 Å³ per atom